In2PbBr | PBE | optimized geometry

Unit cell a=3.945 b=6.007 c=9.949 alpha=90.00 beta=90.00 gamma=90.00
Space group Cmm2 (No. 35)
Inequivalent atoms, fractional coordinates:
1 In 0.000 0.000 0.000 x2
2 In 0.000 0.500 0.247 x2
3 Pb 0.000 0.500 0.741 x2
4 Br 0.000 0.000 0.469 x2

Output
size of the total moment = 0.00 μB/f.u.
energy relative to the lowest polymorph listed for this composition = 76 meV per atom



Rb2CuIO6 | PBE | optimized geometry

Unit cell a=6.2442 b=6.2442 c=5.2643 alpha=90.00 beta=90.00 gamma=120.00
Space group P-3m1 (No. 164)
Inequivalent atoms, fractional coordinates:
1 Rb 0.3333 0.6667 0.2302 x2
2 Cu 0.0000 0.0000 0.0000 x1
3 I 0.0000 0.0000 0.5000 x1
4 O 0.1379 0.2758 0.7286 x6

Output
VASP energy = -4.54 eV/atom
size of the total moment = 1.99 μB/f.u.



YTmPa | PBE | optimized geometry

Unit cell a=3.397 b=3.397 c=15.015 alpha=90.00 beta=90.00 gamma=90.00
Space group I4mm (No. 107)
Inequivalent atoms, fractional coordinates:
1 Y 0.000 0.000 0.000 x2
2 Tm 0.000 0.000 0.685 x2
3 Pa 0.000 0.000 0.340 x2

Output
size of the total moment = 0.15 μB/f.u.
energy relative to the elements = 0.153 eV/atom
energy relative to the lowest polymorph listed for this composition = 33 meV per atom



Li2PmCd2 | PBE | optimized geometry

Unit cell a=8.273 b=8.273 c=3.180 alpha=90.00 beta=90.00 gamma=90.00
Space group P4/mbm (No. 127)
Inequivalent atoms, fractional coordinates:
1 Li 0.117 0.383 0.000 x4
2 Pm 0.000 0.000 0.000 x2
3 Cd 0.179 0.679 0.500 x4

Output
size of the total moment = 0.00 μB/f.u.
energy relative to the elements = -0.208 eV/atom
energy relative to the lowest polymorph listed for this composition = 25 meV per atom



TlNiW2 | PBE | optimized geometry

Unit cell a=4.075 b=4.075 c=7.841 alpha=90.00 beta=90.00 gamma=90.00
Space group I-4m2 (No. 119)
Inequivalent atoms, fractional coordinates:
1 Tl 0.000 0.000 0.000 x2
2 Ni 0.000 0.500 0.250 x2
3 W 0.000 0.000 0.500 x2
4 W 0.000 0.500 0.750 x2

Output
size of the total moment = 0.00 μB/f.u.
energy relative to the elements = 0.704 eV/atom
energy relative to the lowest polymorph listed for this composition = 213 meV per atom



Pr2TlBPd6 | PBE | optimized geometry

Unit cell a=5.840 b=8.845 c=7.676 alpha=90.00 beta=90.00 gamma=90.00
Space group Pmmn (No. 59, origin choice 2)
Inequivalent atoms, fractional coordinates:
1 Pr 0.250 0.028 0.225 x4
2 Tl 0.250 0.750 0.840 x2
3 B 0.250 0.250 0.668 x2
4 Pd 0.012 0.250 0.871 x4
5 Pd 0.013 0.750 0.517 x4
6 Pd 0.250 0.012 0.636 x4

Output
size of the total moment = 0.00 μB/f.u.
energy relative to the elements = -0.573 eV/atom



KMnB2P | PBE | optimized geometry

Unit cell a=4.081 b=4.081 c=4.327 alpha=90.00 beta=90.00 gamma=90.00
Space group P4/mmm (No. 123)
Inequivalent atoms, fractional coordinates:
1 K 0.000 0.000 0.000 x1
2 Mn 0.500 0.500 0.500 x1
3 B 0.000 0.500 0.500 x2
4 P 0.500 0.500 0.000 x1

Output
size of the total moment = 0.00 μB/f.u.
energy relative to the elements = 0.557 eV/atom



Pt2Pb2Se | PBE | optimized geometry

Unit cell a=7.438 b=7.438 c=3.994 alpha=90.00 beta=90.00 gamma=90.00
Space group P4/mbm (No. 127)
Inequivalent atoms, fractional coordinates:
1 Pt 0.135 0.365 0.000 x4
2 Pb 0.167 0.667 0.500 x4
3 Se 0.000 0.000 0.000 x2

Output
VASP energy = -4.69 eV/atom
size of the total moment = 0.00 μB/f.u.



AlCuO | PBE | optimized geometry

Unit cell a=2.8607 b=2.8607 c=14.6475 alpha=90.00 beta=90.00 gamma=120.00
Space group R3m (No. 160, hexagonal axes)
Inequivalent atoms, fractional coordinates:
1 Al 0.0000 0.0000 0.0000 x3
2 Cu 0.0000 0.0000 0.4651 x3
3 O 0.0000 0.0000 0.6056 x3

Output
size of the total moment = 0.00 μB/f.u.
energy relative to the lowest polymorph listed for this composition = 62 meV per atom



Na2LiHfTe4 | PBE | optimized geometry

Unit cell a=7.281 b=4.123 c=7.990 alpha=90.00 beta=106.39 gamma=90.00
Space group P2/m (No. 10)
Inequivalent atoms, fractional coordinates:
1 Na 0.000 0.000 0.000 x1
2 Na 0.500 0.500 0.000 x1
3 Li 0.000 0.500 0.500 x1
4 Hf 0.500 0.000 0.500 x1
5 Te 0.247 0.000 0.719 x2
6 Te 0.268 0.500 0.284 x2

Output
VASP energy = -4.18 eV/atom
size of the total moment = 0.00 μB/f.u.



Tb5Pd4Rh | PBE | optimized geometry

Unit cell a=3.473 b=3.473 c=17.869 alpha=90.00 beta=90.00 gamma=90.00
Space group P4/mmm (No. 123)
Inequivalent atoms, fractional coordinates:
1 Tb 0.000 0.000 0.000 x1
2 Tb 0.000 0.000 0.202 x2
3 Tb 0.000 0.000 0.406 x2
4 Pd 0.500 0.500 0.101 x2
5 Pd 0.500 0.500 0.302 x2
6 Rh 0.500 0.500 0.500 x1

Output
size of the total moment = 0.00 μB/f.u.
energy relative to the elements = -0.864 eV/atom



PaSi2Ru4 | PBE | optimized geometry

Unit cell a=7.561 b=7.561 c=3.834 alpha=90.00 beta=90.00 gamma=90.00
Space group P4_2/mnm (No. 136)
Inequivalent atoms, fractional coordinates:
1 Pa 0.000 0.000 0.000 x2
2 Si 0.223 0.223 0.500 x4
3 Ru 0.076 0.661 0.500 x8

Output
size of the total moment = 0.00 μB/f.u.
energy relative to the lowest polymorph listed for this composition = 71 meV per atom